The following is a DFT calculation (GGA-PBE) of an optimized crystal structure of Nd2Sm2Tm2Mg.

Structure (POSCAR):
```
Nd2Sm2Tm2Mg
1.0
3.6960 0.0000 0.0000
-1.8480 5.8696 -1.7406
0.0000 -2.6799 11.3262
Mg Nd Sm Tm
1 2 2 2
direct
0.0000 0.0000 0.5000
0.5242 0.0485 0.7411
0.4758 0.9515 0.2589
0.3188 0.6375 0.9105
0.6812 0.3625 0.0895
0.7421 0.4842 0.6208
0.2579 0.5158 0.3792
```

Calculated values
Space-group type: No. 12
E_form, eV/f.u.: 0.6
ρ, kg/m3: 6915
Size of the total moment, Bohr magnetons per cell: 0.00

---

The following is a DFT calculation (GGA-PBE) of an optimized crystal structure of CrCo2Rh.

Structure (POSCAR):
```
CrCo2Rh
1.0
-3.0446 2.4033 2.0846
-1.9983 -2.7477 -2.8014
-0.1428 -1.8032 1.8704
Co Rh Cr
2 1 1
direct
0.5000 0.5000 0.0000
0.0000 0.0000 0.0000
0.0000 0.5000 0.5000
0.5000 0.0000 0.5000
```

Calculated values
Space-group type: No. 65
E_form, eV/f.u.: 0.4
ρ, kg/m3: 9503
Size of the total moment, Bohr magnetons per cell: 0.21

---

The following is a DFT calculation (GGA-PBE) of an optimized crystal structure of LiNdHoZn.

Structure (POSCAR):
```
LiNdHoZn
1.0
5.1773 0.0000 0.0000
2.5886 4.4837 0.0000
2.5886 1.4946 4.2272
Zn Ho Li Nd
1 1 1 1
direct
0.0000 0.0000 0.0000
0.2500 0.2500 0.2500
0.5000 0.5000 0.5000
0.7500 0.7500 0.7500
```

Calculated values
Space-group type: No. 216
Energy above the lowest structure with this stoichiometry, eV/atom: 0.008
E_form, eV/f.u.: -0.4
ρ, kg/m3: 6456
Size of the total moment, Bohr magnetons per cell: 0.00

---

The following is a DFT calculation (GGA-PBE) of an optimized crystal structure of CsNaSb3.

Structure (POSCAR):
```
CsNaSb3
1.0
5.6810 0.0000 0.0000
0.0000 5.6810 0.0000
0.0000 0.0000 5.6810
Na Cs Sb
1 1 3
direct
0.0000 0.0000 0.0000
0.5000 0.5000 0.5000
0.0000 0.5000 0.0000
0.5000 0.0000 0.0000
0.0000 0.0000 0.5000
```

Calculated values
Space-group type: No. 221
Energy above the lowest structure with this stoichiometry, eV/atom: 0.000
ρ, kg/m3: 4720
Size of the total moment, Bohr magnetons per cell: 0.00

---

The following is a DFT calculation (GGA-PBE) of an optimized crystal structure of AlCr2Br.

Structure (POSCAR):
```
AlCr2Br
1.0
-3.6909 4.3506 -5.6689
-5.7703 4.5153 -3.3170
-3.3249 6.4893 -3.3942
Br Cr Al
1 2 1
direct
0.7448 0.7448 0.7448
0.9907 0.9907 0.9907
0.2564 0.2564 0.2564
0.5081 0.5081 0.5081
```

Calculated values
Space-group type: No. 160
Energy above the lowest structure with this stoichiometry, eV/atom: 0.121
ρ, kg/m3: 5222
Size of the total moment, Bohr magnetons per cell: 0.78

---

The following is a DFT calculation (GGA-PBE) of an optimized crystal structure of K2LiSbO4.

Structure (POSCAR):
```
K2LiSbO4
1.0
5.9090 0.0014 -0.0032
0.0000 5.9100 -0.0028
-2.9523 -2.9538 3.9534
O Li Sb K
4 1 1 2
direct
0.0108 0.0989 0.7354
0.8353 0.4609 0.2080
0.7246 0.6365 0.7354
0.3727 0.7470 0.2079
0.9858 0.4858 0.9716
0.7359 0.7359 0.4718
0.2360 0.2360 0.4720
0.4860 0.9860 0.9720
```

Calculated values
Space-group type: No. 82
ρ, kg/m3: 3261
VASP energy, eV per atom: -5.16
Size of the total moment, Bohr magnetons per cell: 0.00

---

The following is a DFT calculation (GGA-PBE) of an optimized crystal structure of BaCuRh2.

Structure (POSCAR):
```
BaCuRh2
1.0
4.4101 -0.0002 0.0293
2.2059 3.8190 0.0294
2.1662 1.2502 5.5471
Ba Rh Cu
1 2 1
direct
0.4977 0.4977 0.5072
0.6832 0.6832 0.9505
0.0070 0.0070 0.9789
0.3122 0.3122 0.0635
```

Calculated values
Space-group type: No. 160
Energy above the lowest structure with this stoichiometry, eV/atom: 0.000
E_form, eV/f.u.: -0.4
ρ, kg/m3: 7253
Size of the total moment, Bohr magnetons per cell: 0.64

---

The following is a DFT calculation (GGA-PBE) of an optimized crystal structure of LiTa2Sb.

Structure (POSCAR):
```
LiTa2Sb
1.0
4.9490 -0.0016 -0.0053
4.0319 2.8698 -0.0053
0.7261 0.2319 5.2371
Ta Li Sb
2 1 1
direct
0.0005 0.0005 0.9840
0.7425 0.7425 0.7632
0.5025 0.5025 0.4867
0.2546 0.2546 0.2661
```

Calculated values
Space-group type: No. 8
ρ, kg/m3: 10946
VASP energy, eV per atom: -7.19
Size of the total moment, Bohr magnetons per cell: 0.00

---

The following is a DFT calculation (GGA-PBE) of an optimized crystal structure of LaYMo2.

Structure (POSCAR):
```
LaYMo2
1.0
-5.1291 2.9365 -1.4598
-5.1290 2.5753 2.0305
0.1646 5.1838 0.5365
La Mo Y
1 2 1
direct
0.2653 0.2653 0.2349
0.7057 0.7057 0.7943
0.0384 0.0384 0.9616
0.4906 0.4906 0.5093
```

Calculated values
Space-group type: No. 44
Energy above the lowest structure with this stoichiometry, eV/atom: 0.099
E_form, eV/f.u.: 1.1
ρ, kg/m3: 7306
Size of the total moment, Bohr magnetons per cell: 0.00

---

The following is a DFT calculation (GGA-PBE) of an optimized crystal structure of Y2CdHg8.

Structure (POSCAR):
```
Y2CdHg8
1.0
-2.6330 -1.3583 -3.5625
3.2007 -3.1399 -1.1685
-5.7673 -8.6996 7.5796
Hg Y Cd
8 2 1
direct
0.5000 0.5000 0.3234
0.5000 0.0000 0.8561
0.5000 0.0000 0.1439
0.5000 0.5000 0.6766
0.5000 0.0000 0.5000
0.0000 0.5000 0.8561
0.0000 0.5000 0.5000
0.0000 0.5000 0.1439
0.0000 0.0000 0.3159
0.0000 0.0000 0.6841
0.0000 0.0000 0.0000
```

Calculated values
Space-group type: No. 123
Energy above the lowest structure with this stoichiometry, eV/atom: 0.000
E_form, eV/f.u.: -2.7
ρ, kg/m3: 11362
Size of the total moment, Bohr magnetons per cell: 0.00

---

The following is a DFT calculation (GGA-PBE) of an optimized crystal structure of SrBePt2.

Structure (POSCAR):
```
SrBePt2
1.0
-1.6236 -1.7864 -2.3861
2.2973 -1.9295 -0.1185
-1.5613 -5.1122 4.8898
Pt Be Sr
2 1 1
direct
0.0000 0.5437 0.5707
0.0000 0.9563 0.9293
0.5000 0.7500 0.7500
0.5000 0.2500 0.2500
```

Calculated values
Space-group type: No. 10
E_form, eV/f.u.: -1.8
ρ, kg/m3: 11345
Size of the total moment, Bohr magnetons per cell: 0.00

---

The following is a DFT calculation (GGA-PBE) of an optimized crystal structure of ZnPb3F.

Structure (POSCAR):
```
ZnPb3F
1.0
-4.4050 -2.8529 1.1470
1.3565 -0.0048 5.1979
-2.7595 4.5519 0.7243
Pb F Zn
3 1 1
direct
0.5000 0.0000 0.0000
0.0000 0.5000 0.0000
0.0000 0.0000 0.5000
0.5000 0.5000 0.5000
0.0000 0.0000 0.0000
```

Calculated values
Space-group type: No. 221
Energy above the lowest structure with this stoichiometry, eV/atom: 0.316
ρ, kg/m3: 7562
Size of the total moment, Bohr magnetons per cell: 0.00

---

The following is a DFT calculation (GGA-PBE) of an optimized crystal structure of PmCoB.

Structure (POSCAR):
```
PmCoB
1.0
4.1511 0.0000 0.0000
0.0000 3.5928 0.0000
0.0000 -1.7964 3.1115
Co B Pm
1 1 1
direct
0.1667 0.6667 0.3333
0.1667 0.0000 0.0000
0.6667 0.3333 0.6667
```

Calculated values
Space-group type: No. 187
Energy above the lowest structure with this stoichiometry, eV/atom: 0.210
E_form, eV/f.u.: -0.6
ρ, kg/m3: 7684
Size of the total moment, Bohr magnetons per cell: 0.00

---

The following is a DFT calculation (GGA-PBE) of an optimized crystal structure of HfS3O.

Structure (POSCAR):
```
HfS3O
1.0
4.9108 0.0000 0.0000
0.0000 4.9108 0.0000
0.0000 0.0000 4.9108
Hf S O
1 3 1
direct
0.0000 0.0000 0.0000
0.0000 0.0000 0.5000
0.5000 0.0000 0.0000
0.0000 0.5000 0.0000
0.5000 0.5000 0.5000
```

Calculated values
Space-group type: No. 221
Energy above the lowest structure with this stoichiometry, eV/atom: 0.043
ρ, kg/m3: 4076
Size of the total moment, Bohr magnetons per cell: 3.17

---

The following is a DFT calculation (GGA-PBE) of an optimized crystal structure of CaTi2S4.

Structure (POSCAR):
```
CaTi2S4
1.0
3.5534 0.0000 0.0000
0.0000 5.9615 -0.0106
0.0000 2.0493 6.6196
S Ca Ti
4 1 2
direct
0.0000 0.2585 0.2145
0.5000 0.7652 0.2194
0.5000 0.2348 0.7806
0.0000 0.7415 0.7855
0.0000 0.5000 0.5000
0.5000 0.5000 0.0000
0.0000 0.0000 0.0000
```

Calculated values
Space-group type: No. 10
Energy above the lowest structure with this stoichiometry, eV/atom: 0.000
ρ, kg/m3: 3125
Size of the total moment, Bohr magnetons per cell: 0.00

---

The following is a DFT calculation (GGA-PBE) of an optimized crystal structure of Tm6In2Pt.

Structure (POSCAR):
```
Tm6In2Pt
1.0
-2.6187 0.6440 2.6557
-4.9788 -6.0949 -3.4315
5.6847 -2.0299 6.0979
Pt Tm In
1 6 2
direct
0.5000 0.0008 0.0000
0.5000 0.3905 0.3907
0.0000 0.7524 0.7527
0.0000 0.2480 0.0000
0.0000 0.9997 0.2473
0.5000 0.6088 0.0000
0.5000 0.9998 0.6093
0.0000 0.6667 0.3336
0.0000 0.3332 0.6664
```

Calculated values
Space-group type: No. 38
Energy above the lowest structure with this stoichiometry, eV/atom: 0.000
E_form, eV/f.u.: -4.9
ρ, kg/m3: 9894
Size of the total moment, Bohr magnetons per cell: 1.29

---

The following is a DFT calculation (GGA-PBE) of an optimized crystal structure of Li5Tl3Cl12.

Structure (POSCAR):
```
Li5Tl3Cl12
1.0
13.4892 0.0000 0.0000
-4.4964 12.7177 0.0000
-4.4964 -6.3589 11.0139
Tl Cl Li
12 48 20
direct
0.2500 0.1250 0.3750
0.2500 0.6250 0.8750
0.7500 0.3750 0.1250
0.3750 0.6250 0.2500
0.1250 0.8750 0.7500
0.1250 0.2500 0.8750
0.8750 0.7500 0.1250
0.8750 0.1250 0.2500
0.6250 0.3750 0.7500
0.7500 0.8750 0.6250
0.6250 0.2500 0.3750
0.3750 0.7500 0.6250
0.9053 0.0838 0.8718
0.8718 0.5838 0.9053
0.0838 0.9053 0.3718
0.6785 0.4665 0.5947
0.5335 0.3215 0.9053
0.1282 0.7119 0.5335
0.1282 0.4162 0.0947
0.8718 0.2881 0.4665
0.4053 0.3718 0.5838
0.5335 0.2119 0.1282
0.5838 0.8718 0.4053
0.0838 0.1785 0.2119
0.0947 0.9162 0.1282
0.5947 0.6282 0.4162
0.2881 0.8718 0.9665
0.3215 0.7881 0.4162
0.5838 0.7119 0.6785
0.0335 0.4053 0.8215
0.6785 0.2119 0.5838
0.8215 0.9162 0.2881
0.7881 0.3215 0.9162
0.4162 0.2881 0.3215
0.4162 0.1282 0.5947
0.0335 0.6282 0.7119
0.2119 0.5335 0.6282
0.9162 0.8215 0.7881
0.5947 0.9665 0.6785
0.9053 0.8215 0.5335
0.9665 0.5947 0.1785
0.3215 0.5335 0.4053
0.3718 0.9665 0.7881
0.7119 0.1282 0.0335
0.2119 0.6785 0.0838
0.0947 0.1785 0.4665
0.4053 0.0335 0.3215
0.8215 0.9053 0.0335
0.4665 0.6785 0.0947
0.9162 0.0947 0.6282
0.7119 0.5838 0.1785
0.1785 0.0838 0.7119
0.6282 0.0335 0.2119
0.1785 0.0947 0.9665
0.2881 0.4162 0.8215
0.4665 0.7881 0.8718
0.3718 0.4053 0.0838
0.9665 0.3718 0.2881
0.7881 0.4665 0.3718
0.6282 0.5947 0.9162
0.2500 0.8750 0.1250
0.3750 0.2500 0.1250
0.8750 0.6250 0.7500
0.1250 0.7500 0.3750
0.5000 0.5000 0.5000
0.1250 0.3750 0.2500
0.8750 0.2500 0.6250
0.5000 0.0000 0.5000
0.0000 0.5000 0.5000
0.7500 0.1250 0.8750
0.7500 0.6250 0.3750
0.6250 0.7500 0.8750
0.6250 0.8750 0.2500
0.2500 0.3750 0.6250
0.0000 0.0000 0.5000
0.5000 0.0000 0.0000
0.0000 0.0000 0.0000
0.5000 0.5000 0.0000
0.0000 0.5000 0.0000
0.3750 0.1250 0.7500
```

Calculated values
Space-group type: No. 230
ρ, kg/m3: 3773
VASP energy, eV per atom: -3.09
Size of the total moment, Bohr magnetons per cell: 0.00